Entry from Alexandria: crystalline Sm2Co2Si2H at its relaxed geometry (GGA-PBE).

The value obtained for the mass density is 7.2 g cm⁻³. Its final energy is -0.4438 Ry per atom.

The space group is C2/m (No. 12) and the conventional cell measures 10.476, 4.019 and 6.942 Å, with angles of 90.00, 131.14 and 90.00 degrees. The asymmetric unit holds Sm at (0.055, 0.000, 0.292), Co at (0.205, 0.500, 0.093), Si at (0.165, 0.500, 0.720) and H at (0.000, 0.500, 0.000).

---

Entry from Alexandria: crystalline SmCo2SiH at its relaxed geometry (GGA-PBE).

The value obtained for the mass density is 7.7 g cm⁻³. Its final energy is -0.4464 Ry per atom.

The space group is Cmcm (No. 63) and the conventional cell measures 3.694, 10.369 and 6.740 Å, with angles of 90.00, 90.00 and 90.00 degrees. The asymmetric unit holds Sm at (0.000, 0.061, 0.250), Co at (0.000, 0.336, 0.058), Si at (0.000, 0.220, 0.750) and H at (0.000, 0.500, 0.000).

---

Entry from Alexandria: crystalline SmCoSiH at its relaxed geometry (GGA-PBE).

The value obtained for the mass density is 6.9 g cm⁻³. Its final energy is -0.4328 Ry per atom.

The space group is P4/nmm (No. 129, origin choice 2) and the conventional cell measures 3.879, 3.879 and 7.653 Å, with angles of 90.00, 90.00 and 90.00 degrees. The asymmetric unit holds Sm at (0.250, 0.250, 0.169), Co at (0.250, 0.750, 0.500), Si at (0.250, 0.250, 0.655) and H at (0.250, 0.750, 0.000).

---

Number 1: total moment 0.00 μB/f.u.. Number 2: total moment 0.46 μB/f.u.. Number 3: total moment 0.00 μB/f.u..